This record from Alexandria via LeMat-Bulk describes an optimized crystal structure of HoTl2Cd. The functional is PBE-GGA.

Cell: 4.3893 4.3893 20.9526 Å, 90.00 90.00 120.00°
Space group R3m (No. 160, hexagonal axes)
Symmetry-distinct sites (fractional):
Ho 0.0000 0.0000 0.0000 [3 per cell]
Tl 0.0000 0.0000 0.4209 [3 per cell]
Tl 0.0000 0.0000 0.5748 [3 per cell]
Cd 0.0000 0.0000 0.8304 [3 per cell]

Output
Spin magnetization, μB/f.u.: 0.00
Energy relative to the lowest polymorph listed for this composition, meV per atom: 250
Calculated volume, Å³ per atom: 29.13
E, eV/atom: -2.5306
ΔE_f, eV per formula unit: 0.10



This record from Alexandria via LeMat-Bulk describes an optimized crystal structure of Ho2TlCd2. The functional is PBE-GGA.

Cell: 7.676 7.676 4.461 Å, 90.00 90.00 90.00°
Space group P4/mbm (No. 127)
Symmetry-distinct sites (fractional):
Ho 0.168 0.332 0.000 [4 per cell]
Tl 0.000 0.000 0.500 [2 per cell]
Cd 0.130 0.630 0.500 [4 per cell]

Output
Spin magnetization, μB/f.u.: 0.00
Calculated volume, Å³ per atom: 26.29
E, eV/atom: -2.8967
ΔE_f, eV per formula unit: -1.13